## LaAlIn2Co (PBE-GGA)

Data for an optimized crystal structure of LaAlIn2Co.

For the calculated formation energy, the calculation gives 0.213 eV/atom.

```
LaAlIn2Co
1.0
5.220 0.000 0.000
0.000 5.220 0.000
0.000 0.000 4.571
La Al In Co
1 1 2 1
Cartesian
0.000 0.000 0.000
2.610 2.610 2.285
0.000 2.610 2.285
2.610 0.000 2.285
2.610 2.610 0.000
```

## SmHoPd (PBE-GGA)

Data for an optimized crystal structure of SmHoPd.

The distance to the lowest polymorph of the same formula comes out at 198 meV/atom. For the calculated formation energy, the calculation gives -0.392 eV/atom.

```
SmHoPd
1.0
4.792 0.000 0.000
-2.396 4.150 0.000
0.000 0.000 3.890
Sm Ho Pd
1 1 1
Cartesian
0.000 0.000 0.000
0.000 2.766 2.080
2.396 1.383 1.262
```

## AlInPd3 (PBE-GGA)

Data for an optimized crystal structure of AlInPd3.

The distance to the lowest polymorph of the same formula comes out at 1217 meV/atom. For the calculated formation energy, the calculation gives 0.621 eV/atom.

```
AlInPd3
1.0
4.904 0.000 0.000
0.000 4.904 0.000
0.000 0.000 4.904
Al In Pd
1 1 3
Cartesian
0.000 0.000 0.000
2.452 2.452 2.452
0.000 2.452 2.452
2.452 0.000 2.452
2.452 2.452 0.000
```

## Bi2TePd9 (PBE-GGA)

Data for an optimized crystal structure of Bi2TePd9.

The uncorrected formation energy is -205.0 meV per atom.

```
Bi2TePd9
1.0
4.115 0.000 0.000
0.000 4.115 0.000
0.000 0.000 12.445
Bi Te Pd
2 1 9
Cartesian
0.000 0.000 2.111
0.000 0.000 10.334
0.000 0.000 6.222
0.000 2.057 0.000
0.000 2.057 4.168
0.000 2.057 8.277
2.057 0.000 0.000
2.057 0.000 4.168
2.057 0.000 8.277
2.057 2.057 2.069
2.057 2.057 6.222
2.057 2.057 10.375
```

Number 1: spin magnetization 0.20 μB per atom. Number 2: spin magnetization 0.00 μB per atom. Number 3: spin magnetization 0.00 μB per atom. Number 4: spin magnetization 0.00 μB per atom.